<w>
Y2Pb2Au | GGA-PBE | optimized geometry

Lattice parameters (Å, degrees): 7.8457 7.8457 4.7054 90.00 90.00 90.00
Last column: nearest neighbours and their distance in Å.
Fractional coordinates of all 10 atoms:
Y 0.1667 0.3333 0.0000  2 Au 2.92, 2 Pb 3.17
Y 0.3333 0.8333 0.0000  2 Au 2.92, 2 Pb 3.17
Y 0.6667 0.1667 0.0000  2 Au 2.92, 2 Pb 3.17
Y 0.8333 0.6667 0.0000  2 Au 2.92, 2 Pb 3.17
Pb 0.1413 0.6413 0.5000  1 Pb 3.14, 6 Y 3.17-3.38
Pb 0.3587 0.1413 0.5000  1 Pb 3.14, 6 Y 3.17-3.38
Pb 0.6413 0.8587 0.5000  1 Pb 3.14, 6 Y 3.17-3.38
Pb 0.8587 0.3587 0.5000  1 Pb 3.14, 6 Y 3.17-3.38
Au 0.0000 0.0000 0.0000  4 Y 2.92
Au 0.5000 0.5000 0.0000  4 Y 2.92

The value obtained for the calculated volume is 289.6 Å³ per cell.

---

<x>
Y2Pb2Au | GGA-PBE | optimized geometry

Lattice parameters (Å, degrees): 7.6609 7.6609 4.5987 90.00 90.00 90.00
Last column: nearest neighbours and their distance in Å.
Fractional coordinates of all 10 atoms:
Y 0.1688 0.3312 0.0000  6 Pb 3.09-3.31
Y 0.3312 0.8312 0.0000  6 Pb 3.09-3.31
Y 0.6688 0.1688 0.0000  6 Pb 3.09-3.31
Y 0.8312 0.6688 0.0000  6 Pb 3.09-3.31
Pb 0.1410 0.6410 0.5000  2 Au 2.95, 1 Pb 3.06, 2 Y 3.09
Pb 0.3590 0.1410 0.5000  2 Au 2.95, 1 Pb 3.06, 2 Y 3.09
Pb 0.6410 0.8590 0.5000  2 Au 2.95, 1 Pb 3.06, 2 Y 3.09
Pb 0.8590 0.3590 0.5000  2 Au 2.95, 1 Pb 3.06, 2 Y 3.09
Au 0.0000 0.0000 0.5000  4 Pb 2.95
Au 0.5000 0.5000 0.5000  4 Pb 2.95

The value obtained for the calculated volume is 269.9 Å³ per cell.

---

Least stable of them? <w>.

---

<w>
YPb2Au | GGA-PBE | optimized geometry

Lattice parameters (Å, degrees): 3.9124 3.9124 6.9024 90.00 90.00 90.00
Last column: nearest neighbours and their distance in Å.
Fractional coordinates of all 4 atoms:
Y 0.0000 0.0000 0.0000  8 Pb 3.36, 2 Au 3.45
Pb 0.5000 0.5000 0.2753  1 Pb 3.10, 4 Au 3.17, 4 Y 3.36
Pb 0.5000 0.5000 0.7247  1 Pb 3.10, 4 Au 3.17, 4 Y 3.36
Au 0.0000 0.0000 0.5000  8 Pb 3.17, 2 Y 3.45

The value obtained for the calculated volume is 105.7 Å³ per cell.

---

<x>
YPb2Au | GGA-PBE | optimized geometry

Lattice parameters (Å, degrees): 5.3409 5.3409 5.3409 60.00 60.00 60.00
Last column: nearest neighbours and their distance in Å.
Fractional coordinates of all 4 atoms:
Y 0.0000 0.0000 0.0000  4 Pb 3.27, 4 Au 3.27
Pb 0.5000 0.5000 0.5000  4 Pb 3.27, 4 Au 3.27
Pb 0.7500 0.7500 0.7500  4 Pb 3.27, 4 Y 3.27
Au 0.2500 0.2500 0.2500  4 Pb 3.27, 4 Y 3.27

The value obtained for the calculated volume is 107.7 Å³ per cell.

---

Least stable of them? <w>.

---

<w>
YPb2Au | GGA-PBE | optimized geometry

Lattice parameters (Å, degrees): 6.2972 6.2972 3.7250 105.90 105.90 118.94
Last column: nearest neighbours and their distance in Å.
Fractional coordinates of all 4 atoms:
Y 0.0000 0.0000 0.0000  4 Pb 3.19, 4 Au 3.20-3.36
Pb 0.0000 0.5000 0.5000  2 Y 3.19, 2 Au 3.19, 4 Pb 3.20-3.36
Pb 0.5000 0.0000 0.5000  2 Au 3.19, 2 Y 3.19, 4 Pb 3.20-3.36
Au 0.5000 0.5000 0.0000  4 Pb 3.19, 4 Y 3.20-3.36

The value obtained for the calculated volume is 108.9 Å³ per cell.

---

<x>
YPb2Au | GGA-PBE | optimized geometry

Lattice parameters (Å, degrees): 4.5588 4.7238 4.7532 90.00 90.00 90.00
Last column: nearest neighbours and their distance in Å.
Fractional coordinates of all 4 atoms:
Y 0.0000 0.0000 0.0000  8 Pb 3.28-3.29, 4 Au 3.35
Pb 0.5000 0.0000 0.5000  4 Au 3.28, 4 Y 3.29, 4 Pb 3.35
Pb 0.5000 0.5000 0.0000  4 Y 3.28, 4 Au 3.29, 4 Pb 3.35
Au 0.0000 0.5000 0.5000  8 Pb 3.28-3.29, 4 Y 3.35

The value obtained for the calculated volume is 102.4 Å³ per cell.

---

Least stable of them? <w>.

---

<w>
YPbAu4 | GGA-PBE | optimized geometry

Lattice parameters (Å, degrees): 4.8396 4.8396 6.5131 90.00 90.00 120.00
Last column: nearest neighbours and their distance in Å.
Fractional coordinates of all 6 atoms:
Y 0.0000 0.0000 0.0000  12 Au 3.19, 2 Pb 3.26
Pb 0.0000 0.0000 0.5000  2 Y 3.26, 12 Au 3.28
Au 0.3333 0.6667 0.2368  4 Au 2.79-3.08
Au 0.3333 0.6667 0.7632  4 Au 2.79-3.08
Au 0.6667 0.3333 0.2368  4 Au 2.79-3.08
Au 0.6667 0.3333 0.7632  4 Au 2.79-3.08

The value obtained for the calculated volume is 132.1 Å³ per cell.

---

<x>
YPbAu4 | GGA-PBE | optimized geometry

Lattice parameters (Å, degrees): 5.6796 5.6796 5.6796 60.00 60.00 60.00
Last column: nearest neighbours and their distance in Å.
Fractional coordinates of all 6 atoms:
Y 0.0000 0.0000 0.0000  12 Au 3.33, 4 Pb 3.48
Pb 0.2500 0.2500 0.2500  12 Au 3.33, 4 Y 3.48
Au 0.1242 0.6252 0.6252  6 Au 2.83-2.85
Au 0.6252 0.1242 0.6252  6 Au 2.83-2.85
Au 0.6252 0.6252 0.1242  6 Au 2.83-2.85
Au 0.6252 0.6252 0.6252  6 Au 2.83-2.85

The value obtained for the calculated volume is 129.5 Å³ per cell.

---

Least stable of them? <x>.

---

<w>
Zn2Pb2Au | GGA-PBE | optimized geometry

Lattice parameters (Å, degrees): 6.8796 6.8796 4.8169 90.00 90.00 90.00
Last column: nearest neighbours and their distance in Å.
Fractional coordinates of all 10 atoms:
Zn 0.1331 0.3669 0.0000  1 Zn 2.59, 2 Au 2.69
Zn 0.3669 0.8669 0.0000  1 Zn 2.59, 2 Au 2.69
Zn 0.6331 0.1331 0.0000  1 Zn 2.59, 2 Au 2.69
Zn 0.8669 0.6331 0.0000  1 Zn 2.59, 2 Au 2.69
Pb 0.1777 0.6777 0.5000  6 Zn 3.03-3.24
Pb 0.3223 0.1777 0.5000  6 Zn 3.03-3.24
Pb 0.6777 0.8223 0.5000  6 Zn 3.03-3.24
Pb 0.8223 0.3223 0.5000  6 Zn 3.03-3.24
Au 0.0000 0.0000 0.0000  4 Zn 2.69
Au 0.5000 0.5000 0.0000  4 Zn 2.69

The value obtained for the calculated volume is 228.0 Å³ per cell.

---

<x>
Zn2Pb2Au | GGA-PBE | optimized geometry

Lattice parameters (Å, degrees): 8.1890 8.1890 3.6611 90.00 90.00 90.00
Last column: nearest neighbours and their distance in Å.
Fractional coordinates of all 10 atoms:
Zn 0.1105 0.3895 0.0000  1 Zn 2.56
Zn 0.3895 0.8895 0.0000  1 Zn 2.56
Zn 0.6105 0.1105 0.0000  1 Zn 2.56
Zn 0.8895 0.6105 0.0000  1 Zn 2.56
Pb 0.1951 0.6951 0.5000  6 Zn 2.90-3.18, 2 Au 2.96
Pb 0.3049 0.1951 0.5000  6 Zn 2.90-3.18, 2 Au 2.96
Pb 0.6951 0.8049 0.5000  6 Zn 2.90-3.18, 2 Au 2.96
Pb 0.8049 0.3049 0.5000  6 Zn 2.90-3.18, 2 Au 2.96
Au 0.0000 0.0000 0.5000  4 Pb 2.96
Au 0.5000 0.5000 0.5000  4 Pb 2.96

The value obtained for the calculated volume is 245.5 Å³ per cell.

---

Least stable of them? <x>.

---

<w>
Zr2Pb2Au | GGA-PBE | optimized geometry

Lattice parameters (Å, degrees): 7.5047 7.5047 4.2045 90.00 90.00 90.00
Last column: nearest neighbours and their distance in Å.
Fractional coordinates of all 10 atoms:
Zr 0.1695 0.3305 0.0000  6 Pb 2.92-3.14
Zr 0.3305 0.8305 0.0000  6 Pb 2.92-3.14
Zr 0.6695 0.1695 0.0000  6 Pb 2.92-3.14
Zr 0.8305 0.6695 0.0000  6 Pb 2.92-3.14
Pb 0.1393 0.6393 0.5000  2 Au 2.90, 6 Zr 2.92-3.14, 1 Pb 2.96
Pb 0.3607 0.1393 0.5000  2 Au 2.90, 6 Zr 2.92-3.14, 1 Pb 2.96
Pb 0.6393 0.8607 0.5000  2 Au 2.90, 6 Zr 2.92-3.14, 1 Pb 2.96
Pb 0.8607 0.3607 0.5000  2 Au 2.90, 6 Zr 2.92-3.14, 1 Pb 2.96
Au 0.0000 0.0000 0.5000  4 Pb 2.90
Au 0.5000 0.5000 0.5000  4 Pb 2.90

The value obtained for the calculated volume is 236.8 Å³ per cell.

---

<x>
Zr2Pb2Au | GGA-PBE | optimized geometry

Lattice parameters (Å, degrees): 7.4141 7.4141 4.4936 90.00 90.00 90.00
Last column: nearest neighbours and their distance in Å.
Fractional coordinates of all 10 atoms:
Zr 0.1473 0.3527 0.0000  2 Au 2.83, 2 Pb 3.00, 1 Zr 3.09
Zr 0.3527 0.8527 0.0000  2 Au 2.83, 2 Pb 3.00, 1 Zr 3.09
Zr 0.6473 0.1473 0.0000  2 Au 2.83, 2 Pb 3.00, 1 Zr 3.09
Zr 0.8527 0.6473 0.0000  2 Au 2.83, 2 Pb 3.00, 1 Zr 3.09
Pb 0.1630 0.6630 0.5000  6 Zr 3.00-3.22
Pb 0.3370 0.1630 0.5000  6 Zr 3.00-3.22
Pb 0.6630 0.8370 0.5000  6 Zr 3.00-3.22
Pb 0.8370 0.3370 0.5000  6 Zr 3.00-3.22
Au 0.0000 0.0000 0.0000  4 Zr 2.83
Au 0.5000 0.5000 0.0000  4 Zr 2.83

The value obtained for the calculated volume is 247.0 Å³ per cell.

---

Least stable of them? <w>.

---

<w>
Pd3Au8 | GGA-PBE | optimized geometry

Lattice parameters (Å, degrees): 6.0704 6.0704 6.0704 93.30 93.30 93.30
Last column: nearest neighbours and their distance in Å.
Fractional coordinates of all 11 atoms:
Pd 0.0000 0.5000 0.5000  6 Au 2.56-2.82
Pd 0.5000 0.0000 0.5000  6 Au 2.56-2.82
Pd 0.5000 0.5000 0.0000  6 Au 2.56-2.82
Au 0.0901 0.9092 0.3174  2 Pd 2.68-2.82, 3 Au 2.73-2.76
Au 0.0908 0.6826 0.9099  2 Pd 2.68-2.82, 3 Au 2.73-2.76
Au 0.3174 0.0901 0.9092  2 Pd 2.68-2.82, 3 Au 2.73-2.76
Au 0.3616 0.3616 0.3616  3 Pd 2.56, 1 Au 2.74
Au 0.6384 0.6384 0.6384  3 Pd 2.56, 1 Au 2.74
Au 0.6826 0.9099 0.0908  2 Pd 2.68-2.82, 3 Au 2.73-2.76
Au 0.9092 0.3174 0.0901  2 Pd 2.68-2.82, 3 Au 2.73-2.76
Au 0.9099 0.0908 0.6826  2 Pd 2.68-2.82, 3 Au 2.73-2.76

The value obtained for the calculated volume is 222.5 Å³ per cell.

---

<x>
Pd3Au8 | GGA-PBE | optimized geometry

Lattice parameters (Å, degrees): 5.0028 5.0028 10.5293 104.19 104.19 48.33
Last column: nearest neighbours and their distance in Å.
Fractional coordinates of all 11 atoms:
Pd 0.0000 0.0000 0.0000  12 Au 2.89-2.92
Pd 0.0921 0.0921 0.6354  11 Au 2.89-2.91, 1 Pd 2.90
Pd 0.9079 0.9079 0.3646  11 Au 2.89-2.91, 1 Pd 2.90
Au 0.1804 0.1804 0.2733  8 Au 2.89-2.91, 4 Pd 2.89-2.91
Au 0.2734 0.2734 0.9089  4 Pd 2.89-2.91, 8 Au 2.89-2.91
Au 0.3654 0.3654 0.5446  7 Au 2.86-2.91, 5 Pd 2.89-2.90
Au 0.4535 0.4535 0.1824  8 Au 2.89-2.91, 4 Pd 2.91-2.92
Au 0.5465 0.5465 0.8176  8 Au 2.89-2.91, 4 Pd 2.91-2.92
Au 0.6346 0.6346 0.4554  7 Au 2.86-2.91, 5 Pd 2.89-2.90
Au 0.7266 0.7266 0.0911  4 Pd 2.89-2.91, 8 Au 2.89-2.91
Au 0.8196 0.8196 0.7267  8 Au 2.89-2.91, 4 Pd 2.89-2.91

The value obtained for the calculated volume is 189.6 Å³ per cell.

---

Least stable of them? <w>.

---

<w>
Pd2Au | GGA-PBE | optimized geometry

Lattice parameters (Å, degrees): 4.9262 4.9262 4.9262 146.48 131.91 59.89
Last column: nearest neighbours and their distance in Å.
Fractional coordinates of all 3 atoms:
Pd 0.1678 0.1678 0.0000  7 Pd 2.83-2.87, 5 Au 2.84-2.85
Pd 0.8322 0.8322 0.0000  7 Pd 2.83-2.87, 5 Au 2.84-2.85
Au 0.5000 0.5000 0.0000  10 Pd 2.84-2.85, 2 Au 2.84

The value obtained for the calculated volume is 48.7 Å³ per cell.

---

<x>
Pd2Au | GGA-PBE | optimized geometry

Lattice parameters (Å, degrees): 4.9240 4.9240 5.7398 106.75 106.75 47.54
Last column: nearest neighbours and their distance in Å.
Fractional coordinates of all 6 atoms:
Pd 0.9995 0.9995 0.2439  7 Pd 2.80-2.94, 5 Au 2.84-2.86
Pd 0.0005 0.0005 0.7561  7 Pd 2.80-2.94, 5 Au 2.84-2.86
Pd 0.3343 0.3343 0.9194  8 Pd 2.81-2.86, 4 Au 2.84-2.90
Pd 0.6657 0.6657 0.0806  8 Pd 2.81-2.86, 4 Au 2.84-2.90
Au 0.3336 0.3336 0.4134  9 Pd 2.84-2.90, 3 Au 2.85
Au 0.6664 0.6664 0.5866  9 Pd 2.84-2.90, 3 Au 2.85

The value obtained for the calculated volume is 97.4 Å³ per cell.

---

Least stable of them? <x>.

---

<w>
Pd5Au7 | GGA-PBE | optimized geometry

Lattice parameters (Å, degrees): 7.5686 7.5686 10.7154 117.18 117.18 21.92
Last column: nearest neighbours and their distance in Å.
Fractional coordinates of all 12 atoms:
Pd 0.0000 0.0000 0.0000  10 Au 2.86-2.93, 2 Pd 2.88
Pd 0.1676 0.1676 0.5014  6 Au 2.83-2.91, 6 Pd 2.85-2.88
Pd 0.3065 0.3065 0.2527  8 Au 2.85-2.95, 4 Pd 2.87-2.88
Pd 0.6935 0.6935 0.7473  8 Au 2.85-2.95, 4 Pd 2.87-2.88
Pd 0.8324 0.8324 0.4986  6 Au 2.83-2.91, 6 Pd 2.85-2.88
Au 0.0287 0.0287 0.7511  4 Pd 2.86-2.91, 8 Au 2.88-2.91
Au 0.3326 0.3326 0.9963  5 Pd 2.86-2.95, 7 Au 2.88-2.91
Au 0.3586 0.3586 0.7461  7 Pd 2.83-2.93, 5 Au 2.88-2.89
Au 0.5000 0.5000 0.5000  6 Pd 2.86-2.87, 6 Au 2.88-2.90
Au 0.6414 0.6414 0.2539  7 Pd 2.83-2.93, 5 Au 2.88-2.89
Au 0.6674 0.6674 0.0037  5 Pd 2.86-2.95, 7 Au 2.88-2.91
Au 0.9713 0.9713 0.2489  4 Pd 2.86-2.91, 8 Au 2.88-2.91

The value obtained for the calculated volume is 202.8 Å³ per cell.

---

<x>
Pd5Au7 | GGA-PBE | optimized geometry

Lattice parameters (Å, degrees): 4.9940 4.9940 10.0911 104.40 104.40 57.98
Last column: nearest neighbours and their distance in Å.
Fractional coordinates of all 12 atoms:
Pd 0.0000 0.0000 0.0000  8 Au 2.83-2.90, 2 Pd 2.84
Pd 0.1663 0.1663 0.4987  6 Au 2.79-2.91, 4 Pd 2.80-2.91
Pd 0.2513 0.2513 0.2513  2 Pd 2.80-2.84, 8 Au 2.81-2.93
Pd 0.7487 0.7487 0.7487  2 Pd 2.80-2.84, 8 Au 2.81-2.93
Pd 0.8337 0.8337 0.5013  6 Au 2.79-2.91, 4 Pd 2.80-2.91
Au 0.0801 0.0801 0.7474  6 Pd 2.79-2.90, 4 Au 2.83-2.91
Au 0.3325 0.3325 0.0000  6 Au 2.82-2.93, 4 Pd 2.82-2.90
Au 0.4130 0.4130 0.7472  4 Pd 2.80-2.93, 6 Au 2.81-2.91
Au 0.5000 0.5000 0.5000  2 Au 2.81, 8 Pd 2.81-2.91
Au 0.5870 0.5870 0.2528  4 Pd 2.80-2.93, 6 Au 2.81-2.91
Au 0.6675 0.6675 0.0000  6 Au 2.82-2.93, 4 Pd 2.82-2.90
Au 0.9199 0.9199 0.2526  6 Pd 2.79-2.90, 4 Au 2.83-2.91

The value obtained for the calculated volume is 204.6 Å³ per cell.

---

Least stable of them? <x>.

---

<w>
Pd3Au | GGA-PBE | optimized geometry

Lattice parameters (Å, degrees): 4.9011 4.9011 4.9011 131.81 131.81 70.53
Last column: nearest neighbours and their distance in Å.
Fractional coordinates of all 4 atoms:
Pd 0.0000 0.0000 0.0000  8 Pd 2.83, 4 Au 2.83
Pd 0.2500 0.7500 0.5000  4 Au 2.83, 8 Pd 2.83
Pd 0.7500 0.2500 0.5000  4 Au 2.83, 8 Pd 2.83
Au 0.5000 0.5000 0.0000  12 Pd 2.83

The value obtained for the calculated volume is 64.1 Å³ per cell.

---

<x>
Pd3Au | GGA-PBE | optimized geometry

Lattice parameters (Å, degrees): 4.5051 4.5051 4.5051 60.00 60.00 60.00
Last column: nearest neighbours and their distance in Å.
Fractional coordinates of all 4 atoms:
Pd 0.0000 0.0000 0.0000  8 Pd 2.76
Pd 0.2500 0.2500 0.2500  4 Au 2.76, 4 Pd 2.76
Pd 0.7500 0.7500 0.7500  4 Au 2.76, 4 Pd 2.76
Au 0.5000 0.5000 0.5000  8 Pd 2.76

The value obtained for the calculated volume is 64.7 Å³ per cell.

---

<y>
Pd3Au | GGA-PBE | optimized geometry

Lattice parameters (Å, degrees): 4.0019 4.0019 4.0019 90.00 90.00 90.00
Last column: nearest neighbours and their distance in Å.
Fractional coordinates of all 4 atoms:
Pd 0.0000 0.0000 0.5000  8 Pd 2.83, 4 Au 2.83
Pd 0.0000 0.5000 0.0000  8 Pd 2.83, 4 Au 2.83
Pd 0.5000 0.0000 0.0000  8 Pd 2.83, 4 Au 2.83
Au 0.5000 0.5000 0.5000  12 Pd 2.83

The value obtained for the calculated volume is 64.1 Å³ per cell.

---

Least stable of them? <x>.

---

<w>
Pd8Au3 | GGA-PBE | optimized geometry

Lattice parameters (Å, degrees): 4.9201 4.9201 10.2166 103.69 103.69 47.80
Last column: nearest neighbours and their distance in Å.
Fractional coordinates of all 11 atoms:
Pd 0.0450 0.0450 0.3186  4 Au 2.82, 8 Pd 2.83-2.84
Pd 0.1375 0.1375 0.9532  7 Pd 2.82-2.87, 5 Au 2.82-2.84
Pd 0.2278 0.2278 0.5905  8 Pd 2.82-2.84, 4 Au 2.83-2.84
Pd 0.3181 0.3181 0.2286  8 Pd 2.82-2.86, 4 Au 2.83-2.85
Pd 0.6819 0.6819 0.7714  8 Pd 2.82-2.86, 4 Au 2.83-2.85
Pd 0.7722 0.7722 0.4095  8 Pd 2.82-2.84, 4 Au 2.83-2.84
Pd 0.8625 0.8625 0.0468  7 Pd 2.82-2.87, 5 Au 2.82-2.84
Pd 0.9550 0.9550 0.6814  4 Au 2.82, 8 Pd 2.83-2.84
Au 0.4084 0.4084 0.8624  11 Pd 2.82-2.85, 1 Au 2.87
Au 0.5000 0.5000 0.5000  12 Pd 2.82-2.84
Au 0.5916 0.5916 0.1376  11 Pd 2.82-2.85, 1 Au 2.87

The value obtained for the calculated volume is 177.0 Å³ per cell.

---

<x>
Pd8Au3 | GGA-PBE | optimized geometry

Lattice parameters (Å, degrees): 5.9620 5.9620 5.9620 94.81 94.81 94.81
Last column: nearest neighbours and their distance in Å.
Fractional coordinates of all 11 atoms:
Pd 0.1402 0.1402 0.1402  3 Au 2.55, 1 Pd 2.64
Pd 0.1888 0.4186 0.5633  6 Pd 2.60-2.88, 1 Au 2.63
Pd 0.4186 0.5633 0.1888  6 Pd 2.60-2.88, 1 Au 2.63
Pd 0.4367 0.8112 0.5814  6 Pd 2.60-2.88, 1 Au 2.63
Pd 0.5633 0.1888 0.4186  6 Pd 2.60-2.88, 1 Au 2.63
Pd 0.5814 0.4367 0.8112  6 Pd 2.60-2.88, 1 Au 2.63
Pd 0.8112 0.5814 0.4367  6 Pd 2.60-2.88, 1 Au 2.63
Pd 0.8598 0.8598 0.8598  3 Au 2.55, 1 Pd 2.64
Au 0.0000 0.0000 0.5000  4 Pd 2.55-2.63
Au 0.0000 0.5000 0.0000  4 Pd 2.55-2.63
Au 0.5000 0.0000 0.0000  4 Pd 2.55-2.63

The value obtained for the calculated volume is 209.5 Å³ per cell.

---

Least stable of them? <x>.